Below is an optimized crystal structure of RbBaNpBr6, with properties calculated at the PBE level.

Calculated values
Raw formation energy ... -1710 meV per atom
Spin magnetization ... 4.00 μB per formula unit
Fermi-level density of states ... 19.24 states/eV/cell
Calculated total energy ... -4.58 eV per atom
Volume ... 817.8 Å³/cell

CIF file:
```
data_RbBaNpBr6
_cell_length_a 8.1319
_cell_length_b 8.1319
_cell_length_c 14.2806
_cell_angle_alpha 90.00
_cell_angle_beta 90.00
_cell_angle_gamma 120.00
_space_group_name_H-M_alt 'P -3 1 c'
_space_group_IT_number 163
_space_group_name_Hall '-P 3 2c'
loop_
_atom_site_label
_atom_site_type_symbol
_atom_site_fract_x
_atom_site_fract_y
_atom_site_fract_z
Rb1 Rb 0.0000 0.0000 0.0000
Ba1 Ba 0.3333 0.6667 0.2500
Np1 Np 0.3333 0.6667 0.7500
Br1 Br 0.0320 0.3805 0.6345
```

Below is an optimized crystal structure of BaNpTlBr6, with properties calculated at the PBE level.

Calculated values
Raw formation energy ... -1498 meV per atom
Spin magnetization ... 4.00 μB per formula unit
Fermi-level density of states ... 18.52 states/eV/cell
Calculated total energy ... -4.53 eV per atom
Volume ... 774.1 Å³/cell

CIF file:
```
data_BaNpTlBr6
_cell_length_a 8.0736
_cell_length_b 8.0736
_cell_length_c 13.7132
_cell_angle_alpha 90.00
_cell_angle_beta 90.00
_cell_angle_gamma 120.00
_space_group_name_H-M_alt 'P -3 1 c'
_space_group_IT_number 163
_space_group_name_Hall '-P 3 2c'
loop_
_atom_site_label
_atom_site_type_symbol
_atom_site_fract_x
_atom_site_fract_y
_atom_site_fract_z
Ba1 Ba 0.3333 0.6667 0.2500
Np1 Np 0.3333 0.6667 0.7500
Tl1 Tl 0.0000 0.0000 0.0000
Br1 Br 0.0327 0.3745 0.6304
```

Below is an optimized crystal structure of Ba2BrO2, with properties calculated at the PBE level.

Calculated values
Raw formation energy ... -1895 meV per atom
Spin magnetization ... 1.00 μB per formula unit
Fermi-level density of states ... 0.00 states/eV/cell
Calculated total energy ... -4.98 eV per atom
Volume ... 258.0 Å³/cell

CIF file:
```
data_Ba2BrO2
_cell_length_a 8.3549
_cell_length_b 8.3549
_cell_length_c 3.6957
_cell_angle_alpha 90.00
_cell_angle_beta 90.00
_cell_angle_gamma 90.00
_space_group_name_H-M_alt 'P 4/m b m'
_space_group_IT_number 127
_space_group_name_Hall '-P 4 2ab'
loop_
_atom_site_label
_atom_site_type_symbol
_atom_site_fract_x
_atom_site_fract_y
_atom_site_fract_z
Ba1 Ba 0.1446 0.3554 0.0000
Br1 Br 0.0000 0.0000 0.0000
O1 O 0.0961 0.5961 0.5000
```

Below is an optimized crystal structure of Ba2Br2O7, with properties calculated at the PBE level.

Calculated values
Raw formation energy ... -879 meV per atom
Spin magnetization ... 0.00 μB per formula unit
Calculated total energy ... -4.69 eV per atom
Volume ... 409.7 Å³/cell

CIF file:
```
data_Ba2Br2O7
_cell_length_a 8.5282
_cell_length_b 11.3113
_cell_length_c 4.5681
_cell_angle_alpha 90.00
_cell_angle_beta 111.62
_cell_angle_gamma 90.00
_space_group_name_H-M_alt 'C 1 2/m 1'
_space_group_IT_number 12
loop_
_space_group_symop_operation_xyz
'x,y,z'
'-x,-y,-z'
'-x,y,-z'
'x,-y,z'
'x+1/2,y+1/2,z'
'-x+1/2,-y+1/2,-z'
'-x+1/2,y+1/2,-z'
'x+1/2,-y+1/2,z'
loop_
_atom_site_label
_atom_site_type_symbol
_atom_site_fract_x
_atom_site_fract_y
_atom_site_fract_z
Ba1 Ba 0.0000 0.2067 0.0000
Br1 Br 0.2116 0.5000 0.3729
O1 O 0.0000 0.5000 0.5000
O2 O 0.1554 0.0000 0.2446
O3 O 0.2181 0.1448 0.7056
```

Below is an optimized crystal structure of BaBr2O6, with properties calculated at the PBE level.

Calculated values
Raw formation energy ... -689 meV per atom
Spin magnetization ... 0.00 μB per formula unit
Fermi-level density of states ... 0.00 states/eV/cell
Calculated total energy ... -4.58 eV per atom
Volume ... 698.1 Å³/cell

CIF file:
```
data_BaBr2O6
_cell_length_a 12.4075
_cell_length_b 8.4672
_cell_length_c 8.4811
_cell_angle_alpha 90.00
_cell_angle_beta 128.42
_cell_angle_gamma 90.00
_space_group_name_H-M_alt 'C 1 2/c 1'
_space_group_IT_number 15
loop_
_space_group_symop_operation_xyz
'x,y,z'
'-x,-y,-z'
'-x,y,-z+1/2'
'x,-y,z+1/2'
'x+1/2,y+1/2,z'
'-x+1/2,-y+1/2,-z'
'-x+1/2,y+1/2,-z+1/2'
'x+1/2,-y+1/2,z+1/2'
loop_
_atom_site_label
_atom_site_type_symbol
_atom_site_fract_x
_atom_site_fract_y
_atom_site_fract_z
Ba1 Ba 0.0000 0.1566 0.2500
Br1 Br 0.1922 0.4900 0.6894
O1 O 0.1019 0.3428 0.0847
O2 O 0.1406 0.0455 0.6489
O3 O 0.1889 0.4008 0.5072
```

Below is an optimized crystal structure of Ba2BrO2, with properties calculated at the PBE level.

Calculated values
Raw formation energy ... -2145 meV per atom
Spin magnetization ... 1.01 μB per formula unit
Fermi-level density of states ... 8.11 states/eV/cell
Calculated total energy ... -5.23 eV per atom
Volume ... 275.3 Å³/cell

CIF file:
```
data_Ba2BrO2
_cell_length_a 7.6698
_cell_length_b 4.4322
_cell_length_c 8.0986
_cell_angle_alpha 90.00
_cell_angle_beta 90.14
_cell_angle_gamma 90.00
_space_group_name_H-M_alt 'C 1 2/m 1'
_space_group_IT_number 12
loop_
_space_group_symop_operation_xyz
'x,y,z'
'-x,-y,-z'
'-x,y,-z'
'x,-y,z'
'x+1/2,y+1/2,z'
'-x+1/2,-y+1/2,-z'
'-x+1/2,y+1/2,-z'
'x+1/2,-y+1/2,z'
loop_
_atom_site_label
_atom_site_type_symbol
_atom_site_fract_x
_atom_site_fract_y
_atom_site_fract_z
Ba1 Ba 0.1672 0.0000 0.2965
Br1 Br 0.0000 0.5000 0.0000
O1 O 0.1661 0.0000 0.6225
```

Below is an optimized crystal structure of Ba5Br5O2, with properties calculated at the PBE level.

Calculated values
Raw formation energy ... -2208 meV per atom
Spin magnetization ... 0.13 μB per formula unit
Fermi-level density of states ... 3.11 states/eV/cell
Calculated total energy ... -4.53 eV per atom
Volume ... 792.2 Å³/cell

CIF file:
```
data_Ba5Br5O2
_cell_length_a 15.4342
_cell_length_b 4.2853
_cell_length_c 12.3766
_cell_angle_alpha 90.00
_cell_angle_beta 104.61
_cell_angle_gamma 90.00
_space_group_name_H-M_alt 'C 1 2/m 1'
_space_group_IT_number 12
loop_
_space_group_symop_operation_xyz
'x,y,z'
'-x,-y,-z'
'-x,y,-z'
'x,-y,z'
'x+1/2,y+1/2,z'
'-x+1/2,-y+1/2,-z'
'-x+1/2,y+1/2,-z'
'x+1/2,-y+1/2,z'
loop_
_atom_site_label
_atom_site_type_symbol
_atom_site_fract_x
_atom_site_fract_y
_atom_site_fract_z
Ba1 Ba 0.0000 0.0000 0.0000
Ba2 Ba 0.0994 0.0000 0.3576
Ba3 Ba 0.1355 0.5000 0.7926
Br1 Br 0.0000 0.5000 0.5000
Br2 Br 0.1692 0.5000 0.0733
Br3 Br 0.2262 0.0000 0.6294
O1 O 0.0382 0.0000 0.8007
```

Below is an optimized crystal structure of Ba2Br2O, with properties calculated at the PBE level.

Calculated values
Raw formation energy ... -2317 meV per atom
Spin magnetization ... 0.00 μB per formula unit
Fermi-level density of states ... 0.00 states/eV/cell
Calculated total energy ... -4.75 eV per atom
Volume ... 659.1 Å³/cell

CIF file:
```
data_Ba2Br2O
_cell_length_a 4.4726
_cell_length_b 17.4685
_cell_length_c 8.4362
_cell_angle_alpha 90.00
_cell_angle_beta 90.00
_cell_angle_gamma 90.00
_space_group_name_H-M_alt 'C m c 21'
_space_group_IT_number 36
loop_
_space_group_symop_operation_xyz
'x,y,z'
'-x,-y,z+1/2'
'-x,y,z'
'x,-y,z+1/2'
'x+1/2,y+1/2,z'
'-x+1/2,-y+1/2,z+1/2'
'-x+1/2,y+1/2,z'
'x+1/2,-y+1/2,z+1/2'
loop_
_atom_site_label
_atom_site_type_symbol
_atom_site_fract_x
_atom_site_fract_y
_atom_site_fract_z
Ba1 Ba 0.0000 0.0433 0.0000
Ba2 Ba 0.0000 0.3468 0.8653
Br1 Br 0.0000 0.2961 0.4968
Br2 Br 0.0000 0.4409 0.1929
O1 O 0.0000 0.0811 0.3166
```

Below is an optimized crystal structure of Ba3BrO3, with properties calculated at the PBE level.

Calculated values
Raw formation energy ... -2234 meV per atom
Spin magnetization ... 1.01 μB per formula unit
Fermi-level density of states ... 12.68 states/eV/cell
Calculated total energy ... -5.42 eV per atom
Volume ... 784.7 Å³/cell

CIF file:
```
data_Ba3BrO3
_cell_length_a 15.2518
_cell_length_b 4.3671
_cell_length_c 13.5089
_cell_angle_alpha 90.00
_cell_angle_beta 119.29
_cell_angle_gamma 90.00
_space_group_name_H-M_alt 'C 1 2/m 1'
_space_group_IT_number 12
loop_
_space_group_symop_operation_xyz
'x,y,z'
'-x,-y,-z'
'-x,y,-z'
'x,-y,z'
'x+1/2,y+1/2,z'
'-x+1/2,-y+1/2,-z'
'-x+1/2,y+1/2,-z'
'x+1/2,-y+1/2,z'
loop_
_atom_site_label
_atom_site_type_symbol
_atom_site_fract_x
_atom_site_fract_y
_atom_site_fract_z
Ba1 Ba 0.1162 0.0000 0.4330
Ba2 Ba 0.1296 0.0000 0.9052
Ba3 Ba 0.1513 0.5000 0.2052
Br1 Br 0.1141 0.5000 0.6776
O1 O 0.0605 0.0000 0.2083
O2 O 0.1754 0.5000 0.0292
O3 O 0.1964 0.5000 0.4099
```

Below is an optimized crystal structure of Ba3P3BrO10, with properties calculated at the PBE level.

Calculated values
Raw formation energy ... -2655 meV per atom
Spin magnetization ... 0.00 μB per formula unit
Fermi-level density of states ... 0.00 states/eV/cell
Calculated total energy ... -6.96 eV per atom
Volume ... 1199.0 Å³/cell

CIF file:
```
data_Ba3P3BrO10
_cell_length_a 7.3387
_cell_length_b 11.4739
_cell_length_c 14.2389
_cell_angle_alpha 90.00
_cell_angle_beta 90.00
_cell_angle_gamma 90.00
_space_group_name_H-M_alt 'P 21 21 21'
_space_group_IT_number 19
loop_
_space_group_symop_operation_xyz
'x,y,z'
'-x+1/2,-y,z+1/2'
'x+1/2,-y+1/2,-z'
'-x,y+1/2,-z+1/2'
loop_
_atom_site_label
_atom_site_type_symbol
_atom_site_fract_x
_atom_site_fract_y
_atom_site_fract_z
Ba1 Ba 0.1173 0.2419 0.4073
Ba2 Ba 0.1253 0.5056 0.6826
Ba3 Ba 0.1426 0.7567 0.3876
P1 P 0.0891 0.0057 0.2485
P2 P 0.1133 0.4759 0.9772
P3 P 0.1864 0.0119 0.0406
Br1 Br 0.0229 0.2341 0.7057
O1 O 0.0217 0.3929 0.2621
O2 O 0.0338 0.6129 0.2371
O3 O 0.0720 0.1067 0.9958
O4 O 0.1098 0.9602 0.5101
O5 O 0.1374 0.8870 0.0176
O6 O 0.1602 0.5974 0.0154
O7 O 0.1610 0.4556 0.8747
O8 O 0.1771 0.3768 0.0420
O9 O 0.1998 0.0323 0.1507
O10 O 0.2408 0.9970 0.3213
```

Below is an optimized crystal structure of Ba6P2Br3O, with properties calculated at the PBE level.

Calculated values
Raw formation energy ... -1700 meV per atom
Spin magnetization ... 0.00 μB per formula unit
Fermi-level density of states ... 6.38 states/eV/cell
Calculated total energy ... -4.39 eV per atom
Volume ... 830.9 Å³/cell

CIF file:
```
data_Ba6P2Br3O
_cell_length_a 7.7784
_cell_length_b 13.4650
_cell_length_c 8.3504
_cell_angle_alpha 90.00
_cell_angle_beta 108.18
_cell_angle_gamma 90.00
_space_group_name_H-M_alt 'C 1 2/m 1'
_space_group_IT_number 12
loop_
_space_group_symop_operation_xyz
'x,y,z'
'-x,-y,-z'
'-x,y,-z'
'x,-y,z'
'x+1/2,y+1/2,z'
'-x+1/2,-y+1/2,-z'
'-x+1/2,y+1/2,-z'
'x+1/2,-y+1/2,z'
loop_
_atom_site_label
_atom_site_type_symbol
_atom_site_fract_x
_atom_site_fract_y
_atom_site_fract_z
Ba1 Ba 0.2240 0.1555 0.2052
Ba2 Ba 0.2420 0.0000 0.7930
P1 P 0.0000 0.3339 0.0000
Br1 Br 0.0000 0.1731 0.5000
Br2 Br 0.0000 0.5000 0.5000
O1 O 0.0000 0.0000 0.0000
```

Below is an optimized crystal structure of Ba4PBr2O, with properties calculated at the PBE level.

Calculated values
Raw formation energy ... -1750 meV per atom
Spin magnetization ... 0.00 μB per formula unit
Fermi-level density of states ... 3.56 states/eV/cell
Calculated total energy ... -4.43 eV per atom
Volume ... 265.6 Å³/cell

CIF file:
```
data_Ba4PBr2O
_cell_length_a 7.5778
_cell_length_b 4.4464
_cell_length_c 8.2972
_cell_angle_alpha 90.00
_cell_angle_beta 108.17
_cell_angle_gamma 90.00
_space_group_name_H-M_alt 'P 1 2/m 1'
_space_group_IT_number 10
loop_
_space_group_symop_operation_xyz
'x,y,z'
'-x,-y,-z'
'-x,y,-z'
'x,-y,z'
loop_
_atom_site_label
_atom_site_type_symbol
_atom_site_fract_x
_atom_site_fract_y
_atom_site_fract_z
Ba1 Ba 0.2171 0.0000 0.1971
Ba2 Ba 0.2424 0.5000 0.7923
P1 P 0.5000 0.0000 0.0000
Br1 Br 0.0000 0.0000 0.5000
Br2 Br 0.5000 0.5000 0.5000
O1 O 0.0000 0.5000 0.0000
```